A relaxed Tb2Ga3Co5C2 crystal. Source: Alexandria via LeMat-Bulk, functional PBE.

```
data_Tb2Ga3Co5C2
_space_group_name_H-M_alt 'I 4/m m m'
_space_group_IT_number 139
_space_group_name_Hall '-I 4 2'
_cell_length_a 3.8572
_cell_length_b 3.8572
_cell_length_c 22.1315
_cell_angle_alpha 90.00
_cell_angle_beta 90.00
_cell_angle_gamma 90.00
loop_
_atom_site_label
_atom_site_fract_x
_atom_site_fract_y
_atom_site_fract_z
Tb1 0.0000 0.0000 0.1978
Ga1 0.0000 0.0000 0.3473
Ga2 0.0000 0.0000 0.5000
Co1 0.0000 0.0000 0.0000
Co2 0.0000 0.5000 0.0809
C1 0.0000 0.0000 0.0852
```

Computed properties:
**DOS(E_F)**: 0.66 states/eV/atom
**V**: 13.7 Å³ per atom
**Raw total energy**: -75.4 eV per formula unit
**Total moment**: 0.150 μB/atom


A relaxed Cs2In2SnF6 crystal. Source: Alexandria via LeMat-Bulk, functional PBE.

```
data_Cs2In2SnF6
_space_group_name_H-M_alt 'C 1 2/m 1'
_space_group_IT_number 12
_cell_length_a 10.8111
_cell_length_b 6.8322
_cell_length_c 7.9710
_cell_angle_alpha 90.00
_cell_angle_beta 113.10
_cell_angle_gamma 90.00
loop_
_space_group_symop_operation_xyz
'x,y,z'
'-x,-y,-z'
'-x,y,-z'
'x,-y,z'
'x+1/2,y+1/2,z'
'-x+1/2,-y+1/2,-z'
'-x+1/2,y+1/2,-z'
'x+1/2,-y+1/2,z'
loop_
_atom_site_label
_atom_site_fract_x
_atom_site_fract_y
_atom_site_fract_z
Cs1 0.2081 0.0000 0.1242
In1 0.0997 0.5000 0.2370
Sn1 0.0000 0.0000 0.5000
F1 0.0408 0.2522 0.7366
F2 0.2216 0.0000 0.4878
```

Computed properties:
**DOS(E_F)**: 0.00 states/eV/atom
**V**: 24.6 Å³ per atom
**Raw total energy**: -46.2 eV per formula unit
**Total moment**: 0.000 μB/atom
**Formation energy from raw total energies**: -2166 meV per atom


A relaxed LiMgGe2Pd5 crystal. Source: Alexandria via LeMat-Bulk, functional PBE.

```
data_LiMgGe2Pd5
_space_group_name_H-M_alt 'P 4/m m m'
_space_group_IT_number 123
_space_group_name_Hall '-P 4 2'
_cell_length_a 4.1272
_cell_length_b 4.1272
_cell_length_c 8.9341
_cell_angle_alpha 90.00
_cell_angle_beta 90.00
_cell_angle_gamma 90.00
loop_
_atom_site_label
_atom_site_fract_x
_atom_site_fract_y
_atom_site_fract_z
Li1 0.0000 0.0000 0.0000
Mg1 0.0000 0.0000 0.5000
Ge1 0.5000 0.5000 0.1380
Pd1 0.0000 0.5000 0.2835
Pd2 0.5000 0.5000 0.5000
```

Computed properties:
**DOS(E_F)**: 0.33 states/eV/atom
**V**: 16.9 Å³ per atom
**Raw total energy**: -43.3 eV per formula unit
**Total moment**: 0.000 μB/atom